# 1
TlAgBiPd2: relaxed, PBE.

Cell: 5.179 5.179 5.380 Å, 90.00 90.00 90.00°
Space group P4/mmm (No. 123)
Inequivalent atoms, fractional coordinates:
Tl: 0.000 0.000 0.000 [1 per cell]
Ag: 0.500 0.500 0.000 [1 per cell]
Bi: 0.500 0.500 0.500 [1 per cell]
Pd: 0.000 0.500 0.500 [2 per cell]

# 2
TlAgBiPd: relaxed, PBE.

Cell: 7.096 7.096 7.096 Å, 90.00 90.00 90.00°
Space group F-43m (No. 216)
Inequivalent atoms, fractional coordinates:
Tl: 0.000 0.000 0.000 [4 per cell]
Ag: 0.250 0.250 0.250 [4 per cell]
Bi: 0.000 0.000 0.500 [4 per cell]
Pd: 0.250 0.250 0.750 [4 per cell]

# 3
Tl2AgBi2Pd7: relaxed, PBE.

Cell: 5.618 5.551 15.956 Å, 90.00 97.16 90.00°
Space group C2/m (No. 12)
Inequivalent atoms, fractional coordinates:
Tl: 0.088 0.000 0.256 [4 per cell]
Ag: 0.000 0.500 0.000 [2 per cell]
Bi: 0.142 0.500 0.390 [4 per cell]
Pd: 0.000 0.000 0.000 [2 per cell]
Pd: 0.173 0.000 0.441 [4 per cell]
Pd: 0.205 0.250 0.870 [8 per cell]

# 4
TmAgBiPd: relaxed, PBE.

Cell: 7.032 7.032 7.032 Å, 90.00 90.00 90.00°
Space group F-43m (No. 216)
Inequivalent atoms, fractional coordinates:
Tm: 0.000 0.000 0.000 [4 per cell]
Ag: 0.250 0.250 0.750 [4 per cell]
Bi: 0.000 0.000 0.500 [4 per cell]
Pd: 0.250 0.250 0.250 [4 per cell]

# 5
VAgBi2Pd: relaxed, PBE.

Cell: 5.227 5.227 4.804 Å, 90.00 90.00 90.00°
Space group P4/mmm (No. 123)
Inequivalent atoms, fractional coordinates:
V: 0.000 0.000 0.000 [1 per cell]
Ag: 0.500 0.500 0.500 [1 per cell]
Bi: 0.000 0.500 0.000 [2 per cell]
Pd: 0.000 0.000 0.500 [1 per cell]

# 6
YAgBiPd: relaxed, PBE.

Cell: 7.083 7.083 7.083 Å, 90.00 90.00 90.00°
Space group F-43m (No. 216)
Inequivalent atoms, fractional coordinates:
Y: 0.000 0.000 0.000 [4 per cell]
Ag: 0.250 0.250 0.750 [4 per cell]
Bi: 0.000 0.000 0.500 [4 per cell]
Pd: 0.250 0.250 0.250 [4 per cell]

# 7
ZrAgBi2Pd: relaxed, PBE.

Cell: 5.321 5.321 5.132 Å, 90.00 90.00 90.00°
Space group P4/mmm (No. 123)
Inequivalent atoms, fractional coordinates:
Zr: 0.000 0.000 0.000 [1 per cell]
Ag: 0.500 0.500 0.000 [1 per cell]
Bi: 0.000 0.500 0.500 [2 per cell]
Pd: 0.000 0.000 0.500 [1 per cell]

# 8
Pm8AgBi2: relaxed, PBE.

Cell: 19.956 5.215 6.947 Å, 90.00 103.40 90.00°
Space group C2/m (No. 12)
Inequivalent atoms, fractional coordinates:
Pm: 0.015 0.000 0.273 [4 per cell]
Pm: 0.092 0.500 0.987 [4 per cell]
Pm: 0.152 0.500 0.519 [4 per cell]
Pm: 0.217 0.000 0.829 [4 per cell]
Ag: 0.000 0.500 0.500 [2 per cell]
Bi: 0.180 0.000 0.268 [4 per cell]

# 9
PmAgBi3: relaxed, PBE.

Cell: 13.729 6.463 6.520 Å, 90.00 90.00 90.00°
Space group Pbcm (No. 57)
Inequivalent atoms, fractional coordinates:
Pm: 0.187 0.006 0.250 [4 per cell]
Ag: 0.378 0.250 0.000 [4 per cell]
Bi: 0.001 0.250 0.000 [4 per cell]
Bi: 0.240 0.513 0.250 [4 per cell]
Bi: 0.433 0.682 0.750 [4 per cell]

# 10
Pm3Ag3Bi4: relaxed, PBE.

Cell: 10.311 10.311 10.311 Å, 90.00 90.00 90.00°
Space group I-43d (No. 220)
Inequivalent atoms, fractional coordinates:
Pm: 0.000 0.250 0.875 [12 per cell]
Ag: 0.000 0.250 0.375 [12 per cell]
Bi: 0.088 0.412 0.588 [16 per cell]

# 11
Pm5Ag2Bi: relaxed, PBE.

Cell: 8.416 8.416 13.407 Å, 90.00 90.00 90.00°
Space group I4/mcm (No. 140)
Inequivalent atoms, fractional coordinates:
Pm: 0.000 0.000 0.000 [4 per cell]
Pm: 0.153 0.347 0.146 [16 per cell]
Ag: 0.134 0.366 0.500 [8 per cell]
Bi: 0.000 0.000 0.250 [4 per cell]

# 12
Pm2AgBi4: relaxed, PBE.

Cell: 4.637 4.637 9.861 Å, 90.00 90.00 90.00°
Space group P-4m2 (No. 115)
Inequivalent atoms, fractional coordinates:
Pm: 0.000 0.500 0.238 [2 per cell]
Ag: 0.500 0.500 0.000 [1 per cell]
Bi: 0.000 0.000 0.500 [1 per cell]
Bi: 0.000 0.500 0.831 [2 per cell]
Bi: 0.500 0.500 0.500 [1 per cell]

# 13
Pm6AgBi2: relaxed, PBE.

Cell: 8.7831 8.7831 4.1868 Å, 90.00 90.00 120.00°
Space group P-62m (No. 189)
Inequivalent atoms, fractional coordinates:
Pm: 0.0000 0.4048 0.0000 [3 per cell]
Pm: 0.0000 0.7434 0.5000 [3 per cell]
Ag: 0.0000 0.0000 0.0000 [1 per cell]
Bi: 0.3333 0.6667 0.5000 [2 per cell]

# 14
PmPrAgBi: relaxed, PBE.

Cell: 7.710 7.710 7.710 Å, 90.00 90.00 90.00°
Space group F-43m (No. 216)
Inequivalent atoms, fractional coordinates:
Pm: 0.000 0.000 0.000 [4 per cell]
Pr: 0.000 0.000 0.500 [4 per cell]
Ag: 0.250 0.250 0.750 [4 per cell]
Bi: 0.250 0.250 0.250 [4 per cell]

# 15
PmPuAgBi: relaxed, PBE.

Cell: 7.640 7.640 7.640 Å, 90.00 90.00 90.00°
Space group F-43m (No. 216)
Inequivalent atoms, fractional coordinates:
Pm: 0.000 0.000 0.000 [4 per cell]
Pu: 0.000 0.000 0.500 [4 per cell]
Ag: 0.250 0.250 0.750 [4 per cell]
Bi: 0.250 0.250 0.250 [4 per cell]

# 16
PmAgBiRh: relaxed, PBE.

Cell: 7.066 7.066 7.066 Å, 90.00 90.00 90.00°
Space group F-43m (No. 216)
Inequivalent atoms, fractional coordinates:
Pm: 0.000 0.000 0.000 [4 per cell]
Ag: 0.250 0.250 0.750 [4 per cell]
Bi: 0.000 0.000 0.500 [4 per cell]
Rh: 0.250 0.250 0.250 [4 per cell]

# 17
PmAgBiSb: relaxed, PBE.

Cell: 7.580 7.580 7.580 Å, 90.00 90.00 90.00°
Space group F-43m (No. 216)
Inequivalent atoms, fractional coordinates:
Pm: 0.000 0.000 0.000 [4 per cell]
Ag: 0.250 0.250 0.250 [4 per cell]
Bi: 0.000 0.000 0.500 [4 per cell]
Sb: 0.250 0.250 0.750 [4 per cell]

- Formation energy without anion corrections: -1.023 eV/f.u.

# 18
PmScAgBi: relaxed, PBE.

Cell: 7.418 7.418 7.418 Å, 90.00 90.00 90.00°
Space group F-43m (No. 216)
Inequivalent atoms, fractional coordinates:
Pm: 0.000 0.000 0.000 [4 per cell]
Sc: 0.000 0.000 0.500 [4 per cell]
Ag: 0.250 0.250 0.250 [4 per cell]
Bi: 0.250 0.250 0.750 [4 per cell]

# 19
PmThAgBi: relaxed, PBE.

Cell: 7.698 7.698 7.698 Å, 90.00 90.00 90.00°
Space group F-43m (No. 216)
Inequivalent atoms, fractional coordinates:
Pm: 0.000 0.000 0.000 [4 per cell]
Th: 0.000 0.000 0.500 [4 per cell]
Ag: 0.250 0.250 0.250 [4 per cell]
Bi: 0.250 0.250 0.750 [4 per cell]

# 20
PmTmAgBi: relaxed, PBE.

Cell: 7.540 7.540 7.540 Å, 90.00 90.00 90.00°
Space group F-43m (No. 216)
Inequivalent atoms, fractional coordinates:
Pm: 0.000 0.000 0.000 [4 per cell]
Tm: 0.000 0.000 0.500 [4 per cell]
Ag: 0.250 0.250 0.250 [4 per cell]
Bi: 0.250 0.250 0.750 [4 per cell]

# 21
Pr2AgBi4: relaxed, PBE.

Cell: 4.669 4.669 9.958 Å, 90.00 90.00 90.00°
Space group P-4m2 (No. 115)
Inequivalent atoms, fractional coordinates:
Pr: 0.000 0.500 0.237 [2 per cell]
Ag: 0.500 0.500 0.000 [1 per cell]
Bi: 0.000 0.000 0.500 [1 per cell]
Bi: 0.000 0.500 0.834 [2 per cell]
Bi: 0.500 0.500 0.500 [1 per cell]

# 22
PrAgBi3: relaxed, PBE.

Cell: 13.829 6.492 6.563 Å, 90.00 90.00 90.00°
Space group Pbcm (No. 57)
Inequivalent atoms, fractional coordinates:
Pr: 0.187 0.005 0.250 [4 per cell]
Ag: 0.380 0.250 0.000 [4 per cell]
Bi: 0.001 0.250 0.000 [4 per cell]
Bi: 0.244 0.511 0.250 [4 per cell]
Bi: 0.434 0.685 0.750 [4 per cell]

# 23
Pr5AgBi2: relaxed, PBE.

Cell: 6.144 12.487 14.704 Å, 90.00 90.00 90.00°
Space group Cmcm (No. 63)
Inequivalent atoms, fractional coordinates:
Pr: 0.000 0.067 0.107 [8 per cell]
Pr: 0.000 0.377 0.750 [4 per cell]
Pr: 0.000 0.378 0.061 [8 per cell]
Ag: 0.000 0.259 0.250 [4 per cell]
Bi: 0.000 0.195 0.600 [8 per cell]

Number 1: energy -17.45 eV for the cell shown. Number 2: energy -56.85 eV for the cell shown. Number 3: energy -105.27 eV for the cell shown. Number 4: energy -72.91 eV for the cell shown. Number 5: energy -21.80 eV for the cell shown. Number 6: energy -81.31 eV for the cell shown. Number 7: energy -21.87 eV for the cell shown. Number 8: energy -103.59 eV for the cell shown. Number 9: energy -83.74 eV for the cell shown. Number 10: energy -174.68 eV for the cell shown. Number 11: energy -144.67 eV for the cell shown. Number 12: energy -31.52 eV for the cell shown. Number 13: energy -43.28 eV for the cell shown. Number 14: energy -72.96 eV for the cell shown. Number 15: energy -108.34 eV for the cell shown. Number 16: energy -81.34 eV for the cell shown. Number 17: energy -66.51 eV for the cell shown. Number 18: energy -77.37 eV for the cell shown. Number 19: energy -80.64 eV for the cell shown. Number 20: energy -70.35 eV for the cell shown. Number 21: energy -31.73 eV for the cell shown. Number 22: energy -84.14 eV for the cell shown. Number 23: energy -146.33 eV for the cell shown.